The following is a PBE-GGA calculation of a geometry-optimized Tm7Bi2C2 structure, from Alexandria.

Output
Calculated total energy, eV/atom: -5.45
DFT formation energy, eV per atom: -0.23

Cell lengths 10.3897, 8.6268, 6.3642 Å; angles 90.00, 96.76, 90.00 degrees
With the nearest neighbours (Å) after each atom.
Space group C2/m (No. 12)
Unique sites:
Tm: 0.0000 0.0000 0.0000 (multiplicity 2)  2 C 2.38
Tm: 0.0822 0.5000 0.7644 (multiplicity 4)  1 C 2.26
Tm: 0.2161 0.3102 0.2162 (multiplicity 8)  1 C 2.32
Bi: 0.0000 0.1911 0.5000 (multiplicity 4)  8 Tm 3.21-3.58, 1 Bi 3.30
C: 0.2298 0.0000 0.0160 (multiplicity 4)  4 Tm 2.26-2.38

---

The following is a PBE-GGA calculation of a geometry-optimized GaSbIr2 structure, from Alexandria.

Output
Formation energy without anion corrections, kJ/mol of atoms: 31.4
Calculated total energy, eV/atom: -5.89
ΔE to the lowest computed polymorph, eV/f.u.: 1.05

Cell lengths 5.7028, 5.7028, 11.6455 Å; angles 90.00, 90.00, 90.00 degrees
With the nearest neighbours (Å) after each atom.
Space group I-42d (No. 122)
Unique sites:
Ga: 0.0000 0.0000 0.0000 (multiplicity 4)  4 Ir 2.43
Sb: 0.0000 0.0000 0.5000 (multiplicity 4)  4 Ir 2.55
Ir: 0.2317 0.2500 0.1250 (multiplicity 8)  2 Ga 2.43, 2 Sb 2.55